First-principles (PBE-GGA) data for crystalline Zn2Cu2Sn at its relaxed geometry, as listed in Alexandria.

Values from the calculation:
- Space-group type: No. 139
- Energy above the lowest structure with this stoichiometry: 73.2 meV per atom
- ΔH_f (0 K): 3.1 kcal/mol of atoms

Cell lengths 6.8332, 6.8332, 6.8332 Å; angles 148.94, 148.94, 44.50 degrees
Atoms (fractional coordinates):
Zn1 0.1101 0.1101 0.0000
Zn2 0.8899 0.8899 0.0000
Cu1 0.2500 0.7500 0.5000
Cu2 0.7500 0.2500 0.5000
Sn1 0.5000 0.5000 0.0000

---

First-principles (PBE-GGA) data for crystalline Zr5CuSn3 at its relaxed geometry, as listed in Alexandria.

Values from the calculation:
- Space-group type: No. 193
- ΔH_f (0 K): -12.5 kcal/mol of atoms

Cell lengths 8.6956, 8.6956, 5.8824 Å; angles 90.00, 90.00, 120.00 degrees
Atoms (fractional coordinates):
Zr1 0.0000 0.2646 0.2500
Zr2 0.0000 0.7354 0.7500
Zr3 0.2646 0.0000 0.2500
Zr4 0.2646 0.2646 0.7500
Zr5 0.3333 0.6667 0.0000
Zr6 0.3333 0.6667 0.5000
Zr7 0.6667 0.3333 0.0000
Zr8 0.6667 0.3333 0.5000
Zr9 0.7354 0.0000 0.7500
Zr10 0.7354 0.7354 0.2500
Cu1 0.0000 0.0000 0.0000
Cu2 0.0000 0.0000 0.5000
Sn1 0.0000 0.3851 0.7500
Sn2 0.0000 0.6149 0.2500
Sn3 0.3851 0.0000 0.7500
Sn4 0.3851 0.3851 0.2500
Sn5 0.6149 0.0000 0.2500
Sn6 0.6149 0.6149 0.7500

---

First-principles (PBE-GGA) data for crystalline Zr12CuSn6 at its relaxed geometry, as listed in Alexandria.

Values from the calculation:
- Space-group type: No. 148
- ΔH_f (0 K): -6.4 kcal/mol of atoms

Cell lengths 7.5168, 7.5168, 7.5168 Å; angles 90.51, 90.51, 90.51 degrees
Atoms (fractional coordinates):
Zr1 0.0219 0.9386 0.3037
Zr2 0.0614 0.6963 0.9781
Zr3 0.1246 0.4431 0.3607
Zr4 0.3037 0.0219 0.9386
Zr5 0.3607 0.1246 0.4431
Zr6 0.4431 0.3607 0.1246
Zr7 0.5569 0.6393 0.8754
Zr8 0.6393 0.8754 0.5569
Zr9 0.6963 0.9781 0.0614
Zr10 0.8754 0.5569 0.6393
Zr11 0.9386 0.3037 0.0219
Zr12 0.9781 0.0614 0.6963
Cu1 0.5000 0.5000 0.5000
Sn1 0.2266 0.3763 0.7586
Sn2 0.2414 0.7734 0.6237
Sn3 0.3763 0.7586 0.2266
Sn4 0.6237 0.2414 0.7734
Sn5 0.7586 0.2266 0.3763
Sn6 0.7734 0.6237 0.2414

---

First-principles (PBE-GGA) data for crystalline ZrCuSn at its relaxed geometry, as listed in Alexandria.

Values from the calculation:
- Space-group type: No. 62
- ΔH_f (0 K): -6.3 kcal/mol of atoms

Cell lengths 8.8901, 4.2021, 6.4408 Å; angles 90.00, 90.00, 90.00 degrees
Atoms (fractional coordinates):
Zr1 0.1062 0.2500 0.2026
Zr2 0.3938 0.7500 0.7026
Zr3 0.6062 0.2500 0.2974
Zr4 0.8938 0.7500 0.7974
Cu1 0.1166 0.7500 0.4903
Cu2 0.3834 0.2500 0.9903
Cu3 0.6166 0.7500 0.0097
Cu4 0.8834 0.2500 0.5097
Sn1 0.1416 0.2500 0.7387
Sn2 0.3584 0.7500 0.2387
Sn3 0.6416 0.2500 0.7613
Sn4 0.8584 0.7500 0.2613

---

First-principles (PBE-GGA) data for crystalline Zr2CuSn at its relaxed geometry, as listed in Alexandria.

Values from the calculation:
- Space-group type: No. 164
- ΔH_f (0 K): -1.0 kcal/mol of atoms

Cell lengths 4.1953, 4.1953, 5.8450 Å; angles 90.00, 90.00, 120.00 degrees
Atoms (fractional coordinates):
Zr1 0.3333 0.6667 0.2159
Zr2 0.6667 0.3333 0.7841
Cu1 0.0000 0.0000 0.0000
Sn1 0.0000 0.0000 0.5000

---

First-principles (PBE-GGA) data for crystalline Zr2CuSn at its relaxed geometry, as listed in Alexandria.

Values from the calculation:
- Space-group type: No. 123
- ΔH_f (0 K): -5.6 kcal/mol of atoms

Cell lengths 3.1213, 3.1213, 8.1774 Å; angles 90.00, 90.00, 90.00 degrees
Atoms (fractional coordinates):
Zr1 0.0000 0.0000 0.2188
Zr2 0.0000 0.0000 0.7812
Cu1 0.5000 0.5000 0.0000
Sn1 0.5000 0.5000 0.5000